Compound: Rb3YBi
Source: Alexandria via LeMat-Bulk
Functional: GGA-PBE
Structure: optimized geometry

abc: 6.999 6.999 6.999
angles: 90.00 90.00 90.00
Element x y z (fractional)
Y: 0.000 0.000 0.000
Bi: 0.500 0.500 0.500
Rb: 0.000 0.500 0.000
Rb: 0.000 0.000 0.500
Rb: 0.500 0.000 0.000

Final energy ... -8.59 eV per formula unit
E above lowest polymorph ... 418 meV/atom
E_form ... 0.9318 eV/atom
Magnetization ... 1.00 μB/f.u.

Compound: Nb2Te2Br
Source: Alexandria via LeMat-Bulk
Functional: GGA-PBE
Structure: optimized geometry

abc: 5.128 5.128 6.195
angles: 65.55 65.55 90.00
Element x y z (fractional)
Nb: 0.378 0.378 0.245
Nb: 0.622 0.622 0.755
Te: 0.750 0.250 0.500
Te: 0.250 0.750 0.500
Br: 0.000 0.000 0.000

Final energy ... -27.22 eV per formula unit
Uncorrected formation energy ... 0.175 eV/atom
E above lowest polymorph ... 326 meV/atom
Magnetization ... 0.00 μB/f.u.

Compound: Dy6MgFe2
Source: Alexandria via LeMat-Bulk
Functional: GGA-PBE
Structure: optimized geometry

abc: 8.433 8.433 8.433
angles: 106.80 110.06 111.59
Element x y z (fractional)
Dy: 0.523 0.710 0.812
Dy: 0.477 0.290 0.188
Dy: 0.102 0.290 0.812
Dy: 0.898 0.710 0.188
Dy: 0.785 0.773 0.558
Dy: 0.215 0.227 0.442
Dy: 0.215 0.773 0.988
Dy: 0.785 0.227 0.012
Dy: 0.702 0.393 0.691
Dy: 0.298 0.607 0.309
Dy: 0.298 0.989 0.691
Dy: 0.702 0.011 0.309
Mg: 0.000 0.500 0.500
Mg: 0.000 0.000 0.000
Fe: 0.500 0.392 0.892
Fe: 0.500 0.608 0.108
Fe: 0.614 0.000 0.614
Fe: 0.386 0.000 0.386

Final energy ... -46.42 eV per formula unit
E_form ... -0.0322 eV/atom
Magnetization ... 1.78 μB/f.u.

Compound: PmDy3Bi2
Source: Alexandria via LeMat-Bulk
Functional: GGA-PBE
Structure: optimized geometry

abc: 4.578 4.578 8.692
angles: 90.00 90.00 90.00
Element x y z (fractional)
Pm: 0.500 0.500 0.000
Dy: 0.500 0.000 0.347
Dy: 0.000 0.500 0.653
Dy: 0.000 0.000 0.000
Bi: 0.500 0.000 0.713
Bi: 0.000 0.500 0.287

Final energy ... -29.85 eV per formula unit
E above lowest polymorph ... 0 meV/atom
E_form ... -0.5892 eV/atom
Magnetization ... 0.00 μB/f.u.

Compound: SrEuPb2
Source: Alexandria via LeMat-Bulk
Functional: GGA-PBE
Structure: optimized geometry

abc: 4.793 5.234 5.234
angles: 90.00 90.00 90.00
Element x y z (fractional)
Pb: 0.000 0.000 0.500
Pb: 0.000 0.500 0.000
Eu: 0.500 0.500 0.500
Sr: 0.500 0.000 0.000

Final energy ... -21.48 eV per formula unit
E_form ... -0.5276 eV/atom
Magnetization ... 7.08 μB/f.u.

Compound: CrSbIr2
Source: Alexandria via LeMat-Bulk
Functional: GGA-PBE
Structure: optimized geometry

abc: 2.907 2.907 7.344
angles: 90.00 90.00 90.00
Element x y z (fractional)
Cr: 0.500 0.500 0.768
Ir: 0.000 0.000 0.976
Ir: 0.500 0.500 0.251
Sb: 0.000 0.000 0.505

Final energy ... -30.38 eV per formula unit
Uncorrected formation energy ... 0.271 eV/atom
Magnetization ... 0.10 μB/f.u.

Compound: SrMnPt2
Source: Alexandria via LeMat-Bulk
Functional: GGA-PBE
Structure: optimized geometry

abc: 4.792 4.792 4.792
angles: 60.00 60.00 60.00
Element x y z (fractional)
Mn: 0.500 0.500 0.500
Pt: 0.000 0.000 0.000
Pt: 0.250 0.250 0.250
Sr: 0.750 0.750 0.750

Final energy ... -23.14 eV per formula unit
E_form ... -0.0525 eV/atom
Magnetization ... 4.51 μB/f.u.

Compound: CsTiInF6
Source: Alexandria via LeMat-Bulk
Functional: GGA-PBE
Structure: optimized geometry

abc: 6.382 6.597 5.063
angles: 89.80 87.94 54.45
Element x y z (fractional)
Cs: 0.636 0.670 0.240
Ti: 0.336 0.338 0.553
In: 0.931 0.000 0.872
F: 0.178 0.212 0.383
F: 0.536 0.032 0.748
F: 0.525 0.439 0.734
F: 0.069 0.497 0.812
F: 0.170 0.634 0.364
F: 0.618 0.179 0.294

Final energy ... -49.49 eV per formula unit
Uncorrected formation energy ... -2.976 eV/atom
Magnetization ... 0.00 μB/f.u.

Compound: Dy2Ga3Au5
Source: Alexandria via LeMat-Bulk
Functional: GGA-PBE
Structure: optimized geometry

abc: 5.999 8.760 8.760
angles: 82.54 69.98 69.98
Element x y z (fractional)
Dy: 0.133 0.591 0.143
Dy: 0.633 0.143 0.591
Dy: 0.867 0.409 0.857
Dy: 0.367 0.857 0.409
Ga: 0.366 0.508 0.760
Ga: 0.866 0.760 0.508
Ga: 0.634 0.492 0.240
Ga: 0.134 0.240 0.492
Ga: 0.250 0.000 0.000
Ga: 0.750 0.000 0.000
Au: 0.400 0.262 0.939
Au: 0.900 0.939 0.262
Au: 0.600 0.738 0.061
Au: 0.100 0.061 0.738
Au: 0.486 0.764 0.764
Au: 0.514 0.236 0.236
Au: 0.750 0.500 0.500
Au: 0.250 0.500 0.500
Au: 0.014 0.236 0.236
Au: 0.986 0.764 0.764

Final energy ... -40.30 eV per formula unit
E above lowest polymorph ... 30 meV/atom
E_form ... -0.5627 eV/atom
Magnetization ... 0.00 μB/f.u.

Compound: La12Ag6Hg
Source: Alexandria via LeMat-Bulk
Functional: GGA-PBE
Structure: optimized geometry

abc: 8.249 8.249 8.249
angles: 89.26 89.26 89.26
Element x y z (fractional)
La: 0.813 0.545 0.446
La: 0.446 0.813 0.545
La: 0.545 0.446 0.813
La: 0.187 0.455 0.554
La: 0.554 0.187 0.455
La: 0.455 0.554 0.187
La: 0.013 0.142 0.373
La: 0.858 0.627 0.987
La: 0.627 0.987 0.858
La: 0.987 0.858 0.627
La: 0.142 0.373 0.013
La: 0.373 0.013 0.142
Ag: 0.736 0.887 0.259
Ag: 0.741 0.264 0.113
Ag: 0.113 0.741 0.264
Ag: 0.264 0.113 0.741
Ag: 0.259 0.736 0.887
Ag: 0.887 0.259 0.736
Hg: 0.000 0.000 0.000

Final energy ... -78.42 eV per formula unit
E_form ... -0.0989 eV/atom
Magnetization ... 0.00 μB/f.u.

Compound: HgMoAu2
Source: Alexandria via LeMat-Bulk
Functional: GGA-PBE
Structure: optimized geometry

abc: 9.921 9.921 9.921
angles: 17.07 17.07 17.07
Element x y z (fractional)
Au: 0.006 0.006 0.006
Au: 0.494 0.494 0.494
Hg: 0.250 0.250 0.250
Mo: 0.750 0.750 0.750

Final energy ... -16.64 eV per formula unit
E_form ... 0.2623 eV/atom
Magnetization ... 0.00 μB/f.u.

Compound: KZnSb2
Source: Alexandria via LeMat-Bulk
Functional: GGA-PBE
Structure: optimized geometry

abc: 3.312 3.312 10.128
angles: 90.00 90.00 90.00
Element x y z (fractional)
K: 0.500 0.500 0.731
Sb: 0.000 0.000 0.013
Sb: 0.500 0.500 0.277
Zn: 0.000 0.000 0.479

Final energy ... -9.94 eV per formula unit
Uncorrected formation energy ... 0.168 eV/atom
Magnetization ... 0.00 μB/f.u.